No. 1
Compound: ZrSc2N
Source: Alexandria via LeMat-Bulk
Functional: PBE
Structure: optimized geometry

Cell and atoms, written as POSCAR:
```
ZrSc2N
1.0
2.9376 0.0000 0.0000
0.0000 2.9376 0.0000
0.0000 0.0000 7.8173
Sc N Zr
2 1 1
Cartesian
0.0000 0.0000 1.2827
0.0000 0.0000 6.5346
1.4688 1.4688 0.0000
1.4688 1.4688 3.9086
```

**Uncorrected formation energy**: -0.37 eV/atom
**M_tot**: 0.00 μB per cell
**ρ**: 4.80 g/cm³

No. 2
Compound: Zr5Sc3N2
Source: Alexandria via LeMat-Bulk
Functional: PBE
Structure: optimized geometry

Cell and atoms, written as POSCAR:
```
Zr5Sc3N2
1.0
6.0199 0.0000 2.5862
1.8387 7.3783 4.0195
-0.1287 0.1370 8.5988
Sc N Zr
6 4 10
Cartesian
6.8443 6.4927 8.9665
2.8456 2.8532 9.9750
4.8843 4.6620 5.2295
4.5149 0.0000 1.9397
1.5050 0.0000 0.6466
0.8855 1.0225 6.2381
5.4988 0.9140 3.7992
5.2430 6.6085 12.6939
2.2310 6.6012 11.4054
2.4869 0.9067 2.5107
1.8648 4.5849 3.9585
5.8650 2.9303 11.2460
0.4618 1.8190 3.0748
7.2681 5.6962 12.1297
3.4717 1.8190 4.3679
3.9205 1.0725 7.4729
5.3699 3.7576 8.2488
4.2581 5.6962 10.8366
3.8093 6.4427 7.7317
2.3599 3.7576 6.9557
```

**Uncorrected formation energy**: -0.66 eV/atom
**M_tot**: 0.00 μB per cell
**ρ**: 5.39 g/cm³

No. 3
Compound: Se4N
Source: Alexandria via LeMat-Bulk
Functional: PBE
Structure: optimized geometry

Cell and atoms, written as POSCAR:
```
Se4N
1.0
4.4780 0.0000 0.0000
0.0000 4.4780 0.0000
0.0000 0.0000 4.4780
Se N
4 1
Cartesian
0.0000 2.2390 2.2390
0.0000 0.0000 0.0000
2.2390 0.0000 2.2390
2.2390 2.2390 0.0000
2.2390 2.2390 2.2390
```

**Uncorrected formation energy**: 1.06 eV/atom
**M_tot**: 0.00 μB per cell
**ρ**: 6.10 g/cm³

No. 4
Compound: Se2N
Source: Alexandria via LeMat-Bulk
Functional: PBE
Structure: optimized geometry

Cell and atoms, written as POSCAR:
```
Se2N
1.0
4.2051 0.0013 0.0004
0.0143 6.4540 -0.0069
2.0973 0.3710 7.5471
N Se
2 4
Cartesian
3.0485 0.5324 4.1974
3.2683 6.2939 3.3432
5.2598 3.4994 6.0179
1.0570 3.3269 1.5227
1.0581 1.7037 0.0618
5.2586 5.1226 7.4788
```

**Uncorrected formation energy**: 0.04 eV/atom
**M_tot**: 0.00 μB per cell
**ρ**: 2.79 g/cm³
**Relative energy among the computed polymorphs**: 0.024 eV/atom